[1]
A plane-wave DFT calculation with PBE was carried out for crystalline LiBe2Cr at its relaxed geometry.

Summary:
Energy above the most stable polymorph in this dataset, meV/atom: 0.0
ΔH_f (0 K), eV per atom: 0.12

Unit cell a=3.0676 b=3.5262 c=7.7846 alpha=90.00 beta=90.00 gamma=90.00
Space group Cmmm (No. 65)
Unique sites:
Li 0.0000 0.0000 0.0000 x2
Be 0.0000 0.5000 0.2669 x4
Cr 0.0000 0.0000 0.5000 x2

=====

[2]
A plane-wave DFT calculation with PBE was carried out for crystalline HoFeNiGe3 at its relaxed geometry.

Summary:
ΔH_f (0 K), eV per atom: -0.17

Unit cell a=6.2203 b=12.4718 c=5.7452 alpha=90.00 beta=90.00 gamma=90.00
Space group Cmcm (No. 63)
Unique sites:
Ho 0.0000 0.1976 0.2500 x4
Fe 0.0000 0.0317 0.7500 x4
Ni 0.0000 0.3894 0.7500 x4
Ge 0.0000 0.2131 0.7500 x4
Ge 0.2111 0.5000 0.0000 x8

=====

[3]
A plane-wave DFT calculation with PBE was carried out for crystalline Li2PdPbO at its relaxed geometry.

Summary:
Uncorrected formation energy, meV/atom: -928

Unit cell a=3.9086 b=3.9086 c=5.1873 alpha=90.00 beta=90.00 gamma=90.00
Space group P4/mmm (No. 123)
Unique sites:
Li 0.0000 0.5000 0.0000 x2
Pd 0.0000 0.0000 0.5000 x1
Pb 0.5000 0.5000 0.5000 x1
O 0.5000 0.5000 0.0000 x1

=====

[4]
A plane-wave DFT calculation with PBE was carried out for crystalline CsBaTeS2 at its relaxed geometry.

Summary:
Uncorrected formation energy, meV/atom: -1087

Unit cell a=8.1557 b=5.8687 c=8.5721 alpha=90.00 beta=103.23 gamma=90.00
Space group P2/c (No. 13)
Unique sites:
Cs 0.0000 0.1852 0.2500 x2
Ba 0.5000 0.4912 0.7500 x2
Te 0.5000 0.0000 0.0000 x2
S 0.2525 0.3040 0.9502 x4

=====

[5]
A plane-wave DFT calculation with PBE was carried out for crystalline Cs2Y3Br10 at its relaxed geometry.

Summary:
Uncorrected formation energy, meV/atom: -1802

Unit cell a=26.3572 b=8.0423 c=11.4606 alpha=90.00 beta=111.15 gamma=90.00
Space group C2/m (No. 12)
Unique sites:
Cs 0.1212 0.0000 0.2381 x4
Cs 0.2245 0.0000 0.8231 x4
Y 0.0000 0.2757 0.5000 x4
Y 0.0795 0.5000 0.9822 x4
Y 0.1759 0.5000 0.5262 x4
Br 0.0000 0.2642 0.0000 x4
Br 0.0166 0.0000 0.6757 x4
Br 0.0260 0.5000 0.7148 x4
Br 0.1131 0.2250 0.5356 x8
Br 0.1268 0.5000 0.2549 x4
Br 0.1479 0.2487 0.9844 x8
Br 0.2302 0.5000 0.7755 x4
Br 0.2500 0.2500 0.5000 x4

=====

[6]
A plane-wave DFT calculation with PBE was carried out for crystalline Tl2InIr at its relaxed geometry.

Summary:
Energy above the most stable polymorph in this dataset, meV/atom: 400.9
ΔH_f (0 K), eV per atom: 0.49

Unit cell a=3.3580 b=5.0846 c=5.2915 alpha=90.00 beta=90.00 gamma=90.00
Space group Pmmm (No. 47)
Unique sites:
Tl 0.0000 0.0000 0.0000 x1
Tl 0.5000 0.5000 0.0000 x1
In 0.0000 0.5000 0.5000 x1
Ir 0.5000 0.0000 0.5000 x1

=====

[7]
A plane-wave DFT calculation with PBE was carried out for crystalline KGe2Os at its relaxed geometry.

Summary:
Energy above the most stable polymorph in this dataset, meV/atom: 0.0
ΔH_f (0 K), eV per atom: 0.09

Unit cell a=4.1895 b=4.1895 c=18.8960 alpha=90.00 beta=90.00 gamma=120.00
Space group R-3m (No. 166, hexagonal axes)
Unique sites:
K 0.0000 0.0000 0.0000 x3
Ge 0.0000 0.0000 0.2055 x6
Os 0.0000 0.0000 0.5000 x3

=====

[8]
A plane-wave DFT calculation with PBE was carried out for crystalline Li4MgZn at its relaxed geometry.

Summary:
Energy above the most stable polymorph in this dataset, meV/atom: 0.0
ΔH_f (0 K), eV per atom: -0.08

Unit cell a=5.6009 b=4.6535 c=8.5729 alpha=90.00 beta=108.59 gamma=90.00
Space group P2_1/m (No. 11)
Unique sites:
Li 0.0354 0.2500 0.0820 x2
Li 0.1914 0.2500 0.4165 x2
Li 0.2736 0.7500 0.5838 x2
Li 0.4542 0.7500 0.9175 x2
Mg 0.3786 0.7500 0.2570 x2
Zn 0.1266 0.2500 0.7544 x2

=====

| no. | calculated volume (A^3/atom) | density of states at the Fermi level (states/eV/cell) |
| --- | --- | --- |
| 1 | 10.5 | 3.6 |
| 2 | 18.6 | 12.5 |
| 3 | 15.8 | 1.5 |
| 4 | 39.9 | 9.1 |
| 5 | 37.8 | 5.9 |
| 6 | 22.6 | 2.4 |
| 7 | 23.9 | 6.3 |
| 8 | 17.6 | 5.6 |